1.
The following is a PBE calculation of Nb3GaAs after structural relaxation, from Alexandria.

```
data_Nb3GaAs
_chemical_formula_sum 'Nb3 Ga1 As1'
_cell_length_a 4.757
_cell_length_b 4.757
_cell_length_c 4.757
_cell_angle_alpha 90.00
_cell_angle_beta 90.00
_cell_angle_gamma 90.00
_symmetry_space_group_name_H-M 'P m -3 m'
_symmetry_Int_Tables_number 221
_symmetry_space_group_name_Hall '-P 4 2 3'
loop_
_atom_site_label
_atom_site_type_symbol
_atom_site_fract_x
_atom_site_fract_y
_atom_site_fract_z
Nb1 Nb 0.000 0.000 0.500
Ga1 Ga 0.500 0.500 0.500
As1 As 0.000 0.000 0.000
```

- magnetization (μB per atom) = 0.000
- DFT formation energy (meV per atom) = 664
- final energy (eV per atom) = -6.913
- E above lowest polymorph (eV/atom) = 0.860

2.
The following is a PBE calculation of Nb8Ga2As after structural relaxation, from Alexandria.

```
data_Nb8Ga2As
_chemical_formula_sum 'Nb16 Ga4 As2'
_cell_length_a 15.674
_cell_length_b 4.789
_cell_length_c 5.182
_cell_angle_alpha 90.00
_cell_angle_beta 95.41
_cell_angle_gamma 90.00
_symmetry_space_group_name_H-M 'C 1 2/m 1'
_symmetry_Int_Tables_number 12
loop_
_symmetry_equiv_pos_as_xyz
'x,y,z'
'-x,-y,-z'
'-x,y,-z'
'x,-y,z'
'x+1/2,y+1/2,z'
'-x+1/2,-y+1/2,-z'
'-x+1/2,y+1/2,-z'
'x+1/2,-y+1/2,z'
loop_
_atom_site_label
_atom_site_type_symbol
_atom_site_fract_x
_atom_site_fract_y
_atom_site_fract_z
Nb1 Nb 0.044 0.000 0.253
Nb2 Nb 0.088 0.500 0.537
Nb3 Nb 0.173 0.500 0.088
Nb4 Nb 0.230 0.000 0.341
Ga1 Ga 0.149 0.000 0.794
As1 As 0.000 0.500 0.000
```

- magnetization (μB per atom) = 0.000
- DFT formation energy (meV per atom) = -212
- final energy (eV per atom) = -8.509

3.
The following is a PBE calculation of NbGaAs after structural relaxation, from Alexandria.

```
data_NbGaAs
_chemical_formula_sum 'Nb2 Ga2 As2'
_cell_length_a 3.593
_cell_length_b 3.593
_cell_length_c 8.777
_cell_angle_alpha 90.00
_cell_angle_beta 90.00
_cell_angle_gamma 90.00
_symmetry_space_group_name_H-M 'P 4/n m m'
_symmetry_Int_Tables_number 129
loop_
_symmetry_equiv_pos_as_xyz
'x,y,z'
'-x,-y,-z'
'-y+1/2,x,z'
'y+1/2,-x,-z'
'-x+1/2,-y+1/2,z'
'x+1/2,y+1/2,-z'
'y,-x+1/2,z'
'-y,x+1/2,-z'
'x+1/2,-y,-z'
'-x+1/2,y,z'
'-y,-x,-z'
'y,x,z'
'-x,y+1/2,-z'
'x,-y+1/2,z'
'y+1/2,x+1/2,-z'
'-y+1/2,-x+1/2,z'
loop_
_atom_site_label
_atom_site_type_symbol
_atom_site_fract_x
_atom_site_fract_y
_atom_site_fract_z
Nb1 Nb 0.250 0.250 0.102
Ga1 Ga 0.250 0.750 0.500
As1 As 0.250 0.250 0.792
```

- magnetization (μB per atom) = 0.000
- DFT formation energy (meV per atom) = -164
- final energy (eV per atom) = -6.079